[1]
A plane-wave DFT calculation with PBE was carried out for a geometry-optimized NaTmIn4Se8 structure.

Structure (POSCAR):
```
NaTmIn4Se8
1.0
4.115 2.376 6.789
-4.115 2.376 6.789
0.000 -4.752 6.789
Na Tm In Se
1 1 4 8
direct
0.000 0.000 0.000
0.637 0.637 0.637
0.107 0.634 0.634
0.252 0.252 0.252
0.634 0.107 0.634
0.634 0.634 0.107
0.388 0.388 0.852
0.388 0.852 0.388
0.389 0.389 0.389
0.402 0.874 0.874
0.852 0.388 0.388
0.867 0.867 0.867
0.874 0.402 0.874
0.874 0.874 0.402
```

Values from the calculation:
Raw formation energy in kJ per mole of atoms: -77


[2]
A plane-wave DFT calculation with PBE was carried out for a geometry-optimized KZrSc2 structure.

Structure (POSCAR):
```
KZrSc2
1.0
5.743 0.000 0.000
0.000 5.743 0.000
0.000 0.000 3.332
K Zr Sc
1 1 2
direct
0.000 0.000 0.000
0.500 0.500 0.000
0.000 0.500 0.500
0.500 0.000 0.500
```

Values from the calculation:
E_form in eV per atom: 0.6687
Energy above the lowest structure with this stoichiometry in kJ/mol of formula units: 144


[3]
A plane-wave DFT calculation with PBE was carried out for a geometry-optimized K4Tb3InS8 structure.

Structure (POSCAR):
```
K4Tb3InS8
1.0
4.039 2.332 7.384
-4.039 2.332 7.384
0.000 -4.664 7.384
K Tb In S
4 3 1 8
direct
0.000 0.000 0.000
0.000 0.500 0.500
0.500 0.000 0.500
0.500 0.500 0.000
0.000 0.000 0.500
0.000 0.500 0.000
0.500 0.000 0.000
0.500 0.500 0.500
0.234 0.234 0.234
0.240 0.731 0.731
0.269 0.269 0.760
0.269 0.760 0.269
0.731 0.240 0.731
0.731 0.731 0.240
0.760 0.269 0.269
0.766 0.766 0.766
```

Values from the calculation:
Raw formation energy in kJ per mole of atoms: -156


[4]
A plane-wave DFT calculation with PBE was carried out for a geometry-optimized ScAg4Br structure.

Structure (POSCAR):
```
ScAg4Br
1.0
0.000 3.969 3.969
3.969 0.000 3.969
3.969 3.969 0.000
Sc Ag Br
1 4 1
direct
0.000 0.000 0.000
0.125 0.625 0.625
0.625 0.125 0.625
0.625 0.625 0.125
0.625 0.625 0.625
0.250 0.250 0.250
```

Values from the calculation:
Raw formation energy in kJ per mole of atoms: 3


[5]
A plane-wave DFT calculation with PBE was carried out for a geometry-optimized Mn2FeTc structure.

Structure (POSCAR):
```
Mn2FeTc
1.0
2.565 0.000 0.000
0.000 2.565 0.000
0.000 0.000 7.378
Mn Fe Tc
2 1 1
direct
0.000 0.000 0.232
0.000 0.000 0.768
0.500 0.500 0.000
0.500 0.500 0.500
```

Values from the calculation:
E_form in eV per atom: 0.1048


[6]
A plane-wave DFT calculation with PBE was carried out for a geometry-optimized Mg2ZnN structure.

Structure (POSCAR):
```
Mg2ZnN
1.0
6.193 0.000 0.000
0.000 6.193 0.000
0.000 0.000 6.193
Mg Zn N
8 4 4
direct
0.250 0.250 0.250
0.250 0.250 0.750
0.250 0.750 0.250
0.250 0.750 0.750
0.750 0.250 0.250
0.750 0.250 0.750
0.750 0.750 0.250
0.750 0.750 0.750
0.000 0.000 0.000
0.000 0.500 0.500
0.500 0.000 0.500
0.500 0.500 0.000
0.000 0.000 0.500
0.000 0.500 0.000
0.500 0.000 0.000
0.500 0.500 0.500
```

Values from the calculation:
Raw formation energy in kJ per mole of atoms: 42
Energy above the lowest structure with this stoichiometry in kJ/mol of formula units: 284


[7]
A plane-wave DFT calculation with PBE was carried out for a geometry-optimized VCuAs2 structure.

Structure (POSCAR):
```
VCuAs2
1.0
6.276 0.000 0.000
0.000 6.276 0.000
0.000 0.000 6.276
V Cu As
4 4 8
direct
0.000 0.000 0.000
0.000 0.500 0.500
0.500 0.000 0.500
0.500 0.500 0.000
0.000 0.000 0.500
0.000 0.500 0.000
0.500 0.000 0.000
0.500 0.500 0.500
0.250 0.250 0.250
0.250 0.250 0.750
0.250 0.750 0.250
0.250 0.750 0.750
0.750 0.250 0.250
0.750 0.250 0.750
0.750 0.750 0.250
0.750 0.750 0.750
```

Values from the calculation:
E_form in eV per atom: 0.1481


[8]
A plane-wave DFT calculation with PBE was carried out for a geometry-optimized Tm8AlGa2 structure.

Structure (POSCAR):
```
Tm8AlGa2
1.0
8.789 -2.477 0.000
8.789 2.477 0.000
-1.455 0.000 6.618
Tm Al Ga
8 1 2
direct
0.026 0.026 0.260
0.198 0.198 0.802
0.337 0.337 0.542
0.409 0.409 0.042
0.591 0.591 0.958
0.663 0.663 0.458
0.802 0.802 0.198
0.974 0.974 0.740
0.500 0.500 0.500
0.194 0.194 0.233
0.806 0.806 0.767
```

Values from the calculation:
E_form in eV per atom: -0.2557


Number 1: size of the total moment 0.00 μB/cell. Number 2: size of the total moment 0.00 μB/cell. Number 3: size of the total moment 0.00 μB/cell. Number 4: size of the total moment 0.00 μB/cell. Number 5: size of the total moment 1.74 μB/cell. Number 6: size of the total moment 0.00 μB/cell. Number 7: size of the total moment 6.90 μB/cell. Number 8: size of the total moment 0.00 μB/cell.